VASP calculation (PBE) on a geometry-optimized La6Ir3Pt structure.

Results
Final energy (eV for the cell shown): -139.8
Theoretical density (Mg/m³): 9.08
Volume (Å³ per cell): 586.86

```
data_La6Ir3Pt
_space_group_name_H-M_alt 'P 1 21/m 1'
_space_group_IT_number 11
_cell_length_a 12.128
_cell_length_b 4.227
_cell_length_c 12.159
_cell_angle_alpha 90.00
_cell_angle_beta 109.71
_cell_angle_gamma 90.00
loop_
_space_group_symop_operation_xyz
'x,y,z'
'-x,-y,-z'
'-x,y+1/2,-z'
'x,-y+1/2,z'
loop_
_atom_site_label
_atom_site_fract_x
_atom_site_fract_y
_atom_site_fract_z
La1 0.047 0.250 0.397
La2 0.104 0.250 0.942
La3 0.232 0.750 0.268
La4 0.280 0.750 0.760
La5 0.389 0.250 0.547
La6 0.431 0.750 0.098
Ir1 0.060 0.250 0.168
Ir2 0.203 0.750 0.503
Ir3 0.341 0.250 0.922
Pt1 0.444 0.250 0.310
```